Below is a geometry-optimized Th3Co structure, with properties calculated at the PBE level.

## Properties
Calculated density: 11.5 Mg/m³
Energy of formation: 0.377 eV/atom

Cell: 4.7724 4.7724 4.7724 Å, 90.00 90.00 90.00°
Closest atoms and distances in Å follow each position.
Space group Pm-3m (No. 221)
Asymmetric unit:
1 Th 0.0000 0.0000 0.5000 [3 per cell]  4 Co 3.37, 8 Th 3.37
2 Co 0.5000 0.5000 0.5000 [1 per cell]  12 Th 3.37

---

Below is a geometry-optimized PaCl structure, with properties calculated at the PBE level.

## Properties
Calculated density: 7.7 Mg/m³
Electronic total energy: -5.7331 eV per atom

Cell: 6.1174 6.1174 6.1174 Å, 90.00 90.00 90.00°
Closest atoms and distances in Å follow each position.
Space group F-43m (No. 216)
Asymmetric unit:
1 Pa 0.0000 0.0000 0.0000 [4 per cell]  4 Cl 2.65
2 Cl 0.2500 0.2500 0.2500 [4 per cell]  4 Pa 2.65

---

Below is a geometry-optimized SbPt10 structure, with properties calculated at the PBE level.

## Properties
Calculated density: 13.4 Mg/m³
Electronic total energy: -5.9214 eV per atom

Cell: 8.7142 3.9176 29.9867 Å, 90.00 90.31 90.00°
Closest atoms and distances in Å follow each position.
Space group C2/m (No. 12)
Asymmetric unit:
1 Sb 0.1543 0.0000 0.3183 [4 per cell]  6 Pt 2.72-2.87
2 Pt 0.0487 0.5000 0.2601 [4 per cell]  9 Pt 2.77-2.94, 2 Sb 2.78
3 Pt 0.0488 0.5000 0.9548 [4 per cell]  12 Pt 2.76-2.86
4 Pt 0.0498 0.0000 0.8029 [4 per cell]  12 Pt 2.77-2.97
5 Pt 0.0509 0.0000 0.1059 [4 per cell]  12 Pt 2.75-2.88
6 Pt 0.1494 0.5000 0.1665 [4 per cell]  12 Pt 2.77-2.94
7 Pt 0.1503 0.0000 0.0153 [4 per cell]  12 Pt 2.77-2.86
8 Pt 0.1495 0.0000 0.7084 [4 per cell]  3 Sb 2.72-2.76, 6 Pt 2.78-2.97
9 Pt 0.1501 0.5000 0.8644 [4 per cell]  12 Pt 2.75-2.87
10 Pt 0.2485 0.0000 0.9247 [4 per cell]  12 Pt 2.76-2.88
11 Pt 0.2484 0.5000 0.7730 [4 per cell]  11 Pt 2.77-2.88, 1 Sb 2.87

---

Below is a geometry-optimized GdHo2Al2Zn3Cd structure, with properties calculated at the PBE level.

## Properties
Calculated density: 7.4 Mg/m³
Electronic total energy: -3.2664 eV per atom

Cell: 4.4647 12.1938 7.0002 Å, 90.00 90.00 90.00°
Closest atoms and distances in Å follow each position.
Space group Amm2 (No. 38)
Asymmetric unit:
1 Gd 0.0000 0.0000 0.0000 [2 per cell]  1 Cd 3.03, 4 Al 3.07, 2 Zn 3.17
2 Ho 0.0000 0.2156 0.3546 [4 per cell]  1 Cd 3.02, 4 Al 3.05, 2 Zn 3.17
3 Al 0.5000 0.1677 0.0698 [4 per cell]  3 Zn 2.68-2.69
4 Zn 0.5000 0.0000 0.3205 [2 per cell]  2 Al 2.69, 2 Cd 2.82
5 Zn 0.5000 0.1248 0.6937 [4 per cell]  2 Al 2.68, 2 Cd 2.84
6 Cd 0.0000 0.0000 0.5665 [2 per cell]  6 Zn 2.82-2.84, 2 Ho 3.02, 1 Gd 3.03

---

Below is a geometry-optimized HfCuPbW structure, with properties calculated at the PBE level.

## Properties
ΔE to the lowest computed polymorph: 0 meV/atom
Calculated density: 14.1 Mg/m³

Cell: 6.6889 6.6889 6.6889 Å, 90.00 90.00 90.00°
Closest atoms and distances in Å follow each position.
Space group F-43m (No. 216)
Asymmetric unit:
1 Hf 0.0000 0.0000 0.0000 [4 per cell]  4 W 2.90, 4 Cu 2.90
2 Cu 0.2500 0.2500 0.7500 [4 per cell]  4 Hf 2.90, 4 Pb 2.90
3 Pb 0.0000 0.0000 0.5000 [4 per cell]  4 W 2.90, 4 Cu 2.90
4 W 0.2500 0.2500 0.2500 [4 per cell]  4 Hf 2.90, 4 Pb 2.90

---

Below is a geometry-optimized HfNiSn2 structure, with properties calculated at the PBE level.

## Properties
Calculated density: 9.6 Mg/m³
Electronic total energy: -5.6945 eV per atom

Cell: 6.9006 6.9006 6.9006 Å, 90.00 90.00 90.00°
Closest atoms and distances in Å follow each position.
Space group F-43m (No. 216)
Asymmetric unit:
1 Hf 0.0000 0.0000 0.0000 [4 per cell]  4 Ni 2.99, 4 Sn 2.99
2 Ni 0.2500 0.2500 0.7500 [4 per cell]  4 Hf 2.99, 4 Sn 2.99
3 Sn 0.0000 0.0000 0.5000 [4 per cell]  4 Sn 2.99, 4 Ni 2.99
4 Sn 0.2500 0.2500 0.2500 [4 per cell]  4 Hf 2.99, 4 Sn 2.99

---

Below is a geometry-optimized LuFeSbIr structure, with properties calculated at the PBE level.

## Properties
ΔE to the lowest computed polymorph: 272 meV/atom
Calculated density: 12.7 Mg/m³

Cell: 6.5792 6.5792 6.5792 Å, 90.00 90.00 90.00°
Closest atoms and distances in Å follow each position.
Space group F-43m (No. 216)
Asymmetric unit:
1 Lu 0.0000 0.0000 0.0000 [4 per cell]  4 Sb 2.85, 4 Ir 2.85
2 Fe 0.0000 0.0000 0.5000 [4 per cell]  4 Sb 2.85, 4 Ir 2.85
3 Sb 0.2500 0.2500 0.2500 [4 per cell]  4 Fe 2.85, 4 Lu 2.85
4 Ir 0.2500 0.2500 0.7500 [4 per cell]  4 Lu 2.85, 4 Fe 2.85

---

Below is a geometry-optimized HfTlTeAuSe2 structure, with properties calculated at the PBE level.

## Properties
ΔE to the lowest computed polymorph: 67 meV/atom
Calculated density: 8.9 Mg/m³

Cell: 3.9273 15.2750 10.7961 Å, 90.00 90.00 90.00°
Closest atoms and distances in Å follow each position.
Space group Cmcm (No. 63)
Asymmetric unit:
1 Hf 0.0000 0.0000 0.0000 [4 per cell]  4 Se 2.73, 2 Te 2.99
2 Tl 0.0000 0.2250 0.2500 [4 per cell]  2 Au 3.35, 4 Se 3.43, 2 Te 3.52
3 Te 0.0000 0.0835 0.7500 [4 per cell]  2 Au 2.81, 2 Hf 2.99
4 Au 0.0000 0.4523 0.7500 [4 per cell]  2 Se 2.58, 2 Te 2.81
5 Se 0.0000 0.3783 0.5347 [8 per cell]  1 Au 2.58, 2 Hf 2.73

---

Below is a geometry-optimized Gd3AlFeS7 structure, with properties calculated at the PBE level.

## Properties
Calculated density: 5.2 Mg/m³
Electronic total energy: -6.1432 eV per atom

Cell: 9.6832 6.1303 9.7065 Å, 90.00 119.78 90.00°
Closest atoms and distances in Å follow each position.
Space group P2_1 (No. 4)
Asymmetric unit:
1 Gd 0.1238 0.9999 0.3491 [2 per cell]  7 S 2.79-2.99
2 Gd 0.2729 0.4978 0.1208 [2 per cell]  7 S 2.77-2.98
3 Gd 0.3510 0.5000 0.7258 [2 per cell]  7 S 2.78-2.99
4 Al 0.1672 0.9232 0.8326 [2 per cell]  4 S 2.24-2.26
5 Fe 0.4975 0.8204 0.4956 [2 per cell]  6 S 2.46-2.58
6 S 0.0194 0.7697 0.9274 [2 per cell]  1 Al 2.26
7 S 0.0733 0.7688 0.5918 [2 per cell]  1 Al 2.25
8 S 0.1662 0.2878 0.8322 [2 per cell]  1 Al 2.24
9 S 0.2635 0.5827 0.4006 [2 per cell]  2 Fe 2.46-2.58
10 S 0.3618 0.0836 0.2635 [2 per cell]  2 Fe 2.50-2.54, 1 Gd 2.78
11 S 0.4010 0.0820 0.6382 [2 per cell]  2 Fe 2.46-2.58
12 S 0.4087 0.7694 0.9803 [2 per cell]  1 Al 2.25

---

Below is a geometry-optimized Pr2Al8Pt structure, with properties calculated at the PBE level.

## Properties
Calculated density: 5.2 Mg/m³
Electronic total energy: -4.6531 eV per atom

Cell: 4.3828 4.3828 11.4460 Å, 90.00 90.00 90.00°
Closest atoms and distances in Å follow each position.
Space group P4/mmm (No. 123)
Asymmetric unit:
1 Pr 0.0000 0.0000 0.1907 [2 per cell]  12 Al 3.07-3.10
2 Al 0.0000 0.5000 0.0000 [2 per cell]  4 Pr 3.09, 8 Al 3.10-3.16
3 Al 0.0000 0.5000 0.3791 [4 per cell]  2 Pt 2.59, 1 Al 2.77
4 Al 0.5000 0.5000 0.1990 [2 per cell]  8 Al 3.01-3.16, 4 Pr 3.10
5 Pt 0.0000 0.0000 0.5000 [1 per cell]  8 Al 2.59

---

Below is a geometry-optimized NdSm2Nb2N6 structure, with properties calculated at the PBE level.

## Properties
Calculated density: 7.4 Mg/m³
Electronic total energy: -8.8957 eV per atom

Cell: 4.0518 4.0518 19.4870 Å, 90.00 90.00 90.00°
Closest atoms and distances in Å follow each position.
Space group I4/mmm (No. 139)
Asymmetric unit:
1 Nd 0.0000 0.0000 0.0000 [2 per cell]  8 N 2.61
2 Sm 0.0000 0.0000 0.1783 [4 per cell]  1 N 2.32
3 Nb 0.0000 0.0000 0.3973 [4 per cell]  5 N 1.94-2.06
4 N 0.0000 0.0000 0.2975 [4 per cell]  1 Nb 1.94
5 N 0.0000 0.5000 0.0848 [8 per cell]  2 Nb 2.06

---

Below is a geometry-optimized Bi2Ir structure, with properties calculated at the PBE level.

## Properties
Calculated density: 12.6 Mg/m³
Electronic total energy: -4.2219 eV per atom

Cell: 8.6256 8.6256 8.6256 Å, 90.00 90.00 90.00°
Closest atoms and distances in Å follow each position.
Space group Fd-3m (No. 227, origin choice 2)
Asymmetric unit:
1 Bi 0.0000 0.0000 0.0000 [16 per cell]  6 Bi 3.05
2 Ir 0.1250 0.1250 0.6250 [8 per cell]  12 Bi 3.58, 4 Ir 3.73

---

Below is a geometry-optimized SrPrNO structure, with properties calculated at the PBE level.

## Properties
ΔE to the lowest computed polymorph: 0 meV/atom
Calculated density: 5.3 Mg/m³

Cell: 7.2611 8.5952 5.2001 Å, 90.00 90.00 90.00°
Closest atoms and distances in Å follow each position.
Space group Pca2_1 (No. 29)
Asymmetric unit:
1 Sr 0.0836 0.1250 0.0000 [4 per cell]  4 O 2.46-2.60, 1 N 2.55
2 Pr 0.0796 0.6251 0.9988 [4 per cell]  4 N 2.41-2.62, 1 O 2.41
3 N 0.0889 0.6170 0.5029 [4 per cell]  4 Pr 2.41-2.62, 1 Sr 2.55
4 O 0.0776 0.1280 0.5008 [4 per cell]  1 Pr 2.41, 4 Sr 2.46-2.60

---

Below is a geometry-optimized Er2Tm3ScCuTe2 structure, with properties calculated at the PBE level.

## Properties
Calculated density: 8.8 Mg/m³
Electronic total energy: -4.9260 eV per atom

Cell: 3.8564 14.2823 8.2498 Å, 90.00 90.00 90.00°
Closest atoms and distances in Å follow each position.
Space group Amm2 (No. 38)
Asymmetric unit:
1 Er 0.0000 0.2011 0.0000 [4 per cell]  4 Te 3.19, 1 Cu 3.32, 6 Tm 3.48-3.50
2 Tm 0.5000 0.0000 0.0457 [2 per cell]  2 Cu 2.81, 2 Te 3.14
3 Tm 0.5000 0.1204 0.6741 [4 per cell]  2 Cu 2.78
4 Sc 0.0000 0.0000 0.3978 [2 per cell]  4 Te 3.14, 1 Cu 3.30, 6 Tm 3.45-3.49
5 Cu 0.0000 0.0000 0.7979 [2 per cell]  6 Tm 2.78-2.81
6 Te 0.5000 0.1638 0.3005 [4 per cell]  2 Sc 3.14, 3 Tm 3.14-3.25, 4 Er 3.19

---

Below is a geometry-optimized Ge3Pt2 structure, with properties calculated at the PBE level.

## Properties
Calculated density: 11.2 Mg/m³
Electronic total energy: -5.6143 eV per atom

Cell: 16.5988 3.4462 6.2879 Å, 90.00 90.00 90.00°
Closest atoms and distances in Å follow each position.
Space group Pnma (No. 62)
Asymmetric unit:
1 Ge 0.0709 0.2500 0.0581 [4 per cell]  5 Pt 2.52-2.65
2 Ge 0.1126 0.7500 0.5856 [4 per cell]  1 Ge 2.54, 4 Pt 2.56-2.65
3 Ge 0.2313 0.7500 0.8414 [4 per cell]  3 Pt 2.51-2.52, 1 Ge 2.54
4 Pt 0.0066 0.2500 0.6950 [4 per cell]  6 Ge 2.52-2.65
5 Pt 0.1705 0.7500 0.2067 [4 per cell]  6 Ge 2.51-2.57

---

Below is a geometry-optimized HoInPt2 structure, with properties calculated at the PBE level.

## Properties
Calculated density: 13.7 Mg/m³
Electronic total energy: -5.8288 eV per atom

Cell: 4.5752 4.5752 8.9855 Å, 90.00 90.00 120.00°
Closest atoms and distances in Å follow each position.
Space group P6_3/mmc (No. 194)
Asymmetric unit:
1 Ho 0.3333 0.6667 0.2500 [2 per cell]  8 Pt 3.00-3.07
2 In 0.0000 0.0000 0.0000 [2 per cell]  6 Pt 2.77
3 Pt 0.3333 0.6667 0.5916 [4 per cell]  3 In 2.77, 1 Pt 2.85, 4 Ho 3.00-3.07

---

Below is a geometry-optimized TbHo2In3Pt2 structure, with properties calculated at the PBE level.

## Properties
Calculated density: 10.9 Mg/m³
Electronic total energy: -5.1499 eV per atom

Cell: 3.6316 13.3484 7.6885 Å, 90.00 90.00 90.00°
Closest atoms and distances in Å follow each position.
Space group Amm2 (No. 38)
Asymmetric unit:
1 Tb 0.0000 0.0000 0.0000 [2 per cell]  4 Pt 2.95, 2 In 3.24
2 Ho 0.0000 0.2106 0.3688 [4 per cell]  4 Pt 2.92-2.93, 2 In 3.24
3 In 0.5000 0.0000 0.3497 [2 per cell]  2 Pt 3.05, 2 In 3.06, 2 Tb 3.24, 4 Ho 3.35
4 In 0.5000 0.1156 0.6941 [4 per cell]  2 Pt 3.02-3.05, 2 In 3.06-3.09, 4 Ho 3.24-3.34, 2 Tb 3.35
5 Pt 0.5000 0.1679 0.0800 [4 per cell]  4 Ho 2.92-2.93, 2 Tb 2.95, 3 In 3.02-3.05

---

Below is a geometry-optimized AcMg2Cu2 structure, with properties calculated at the PBE level.

## Properties
Calculated density: 5.5 Mg/m³
Electronic total energy: -2.8239 eV per atom

Cell: 5.0099 5.0099 11.0888 Å, 90.00 90.00 120.00°
Closest atoms and distances in Å follow each position.
Space group P6_3/mmc (No. 194)
Asymmetric unit:
1 Ac 0.0000 0.0000 0.2500 [2 per cell]  5 Cu 2.77-2.89
2 Mg 0.3333 0.6667 0.0108 [4 per cell]  4 Cu 2.89, 3 Mg 2.90
3 Cu 0.0000 0.0000 0.0000 [2 per cell]  2 Ac 2.77, 6 Mg 2.89
4 Cu 0.3333 0.6667 0.7500 [2 per cell]  2 Mg 2.89, 3 Ac 2.89

---

Below is a geometry-optimized CsTmBi structure, with properties calculated at the PBE level.

## Properties
Calculated density: 6.5 Mg/m³
Electronic total energy: -2.4355 eV per atom

Cell: 8.0424 8.0424 8.0424 Å, 90.00 90.00 90.00°
Closest atoms and distances in Å follow each position.
Space group F-43m (No. 216)
Asymmetric unit:
1 Cs 0.0000 0.0000 0.0000 [4 per cell]  4 Tm 3.48, 4 Bi 3.48
2 Tm 0.2500 0.2500 0.2500 [4 per cell]  4 Cs 3.48
3 Bi 0.2500 0.2500 0.7500 [4 per cell]  4 Cs 3.48

---

Below is a geometry-optimized TlCuTe3Pd structure, with properties calculated at the PBE level.

## Properties
ΔE to the lowest computed polymorph: 0 meV/atom
Calculated density: 8.0 Mg/m³

Cell: 8.2672 4.0445 10.2537 Å, 90.00 113.20 90.00°
Closest atoms and distances in Å follow each position.
Space group P2_1/m (No. 11)
Asymmetric unit:
1 Tl 0.0206 0.2500 0.2883 [2 per cell]  7 Te 3.38-3.60
2 Cu 0.4791 0.7500 0.3935 [2 per cell]  4 Te 2.62-2.65, 2 Cu 2.89
3 Te 0.2251 0.7500 0.1373 [2 per cell]  1 Cu 2.64, 2 Pd 2.78
4 Te 0.2965 0.7500 0.5522 [2 per cell]  3 Cu 2.62-2.65, 1 Pd 2.80
5 Te 0.3317 0.2500 0.8770 [2 per cell]  3 Pd 2.70-2.75
6 Pd 0.4669 0.2500 0.1635 [2 per cell]  6 Te 2.70-2.80